P | A plane-wave DFT calculation with PBE was carried out for crystalline CrIrI2 at its relaxed geometry.

The size of the total moment comes out at 6.00 Bohr magnetons per cell. As for the space group: I-42d, No. 122.

Cell: 7.877 7.877 7.877 Å, 135.91 135.91 64.12°
Atoms (fractional coordinates):
Cr (0.000, 0.000, 0.000)
Cr (0.750, 0.250, 0.500)
Ir (0.250, 0.750, 0.500)
Ir (0.500, 0.500, 0.000)
I (0.137, 0.625, 0.012)
I (0.375, 0.387, 0.512)
I (0.613, 0.125, 0.988)
I (0.875, 0.863, 0.488)

---

Q | A plane-wave DFT calculation with PBE was carried out for crystalline CrIrI2 at its relaxed geometry.

The size of the total moment comes out at 3.03 Bohr magnetons per cell. As for the space group: Fm-3m, No. 225.

Cell: 4.957 4.957 4.957 Å, 60.00 60.00 60.00°
Atoms (fractional coordinates):
Cr (0.000, 0.000, 0.000)
Ir (0.500, 0.500, 0.500)
I (0.250, 0.250, 0.250)
I (0.750, 0.750, 0.750)

---

Which structure is the least stable? The one labeled Q.

---

P | A plane-wave DFT calculation with PBE was carried out for crystalline CrIrI2N at its relaxed geometry.

The size of the total moment comes out at 4.81 Bohr magnetons per cell. As for the space group: P4/mmm, No. 123.

Cell: 5.685 5.685 3.712 Å, 90.00 90.00 90.00°
Atoms (fractional coordinates):
Cr (0.000, 0.000, 0.000)
Ir (0.500, 0.500, 0.500)
I (0.000, 0.500, 0.500)
I (0.500, 0.000, 0.500)
N (0.500, 0.500, 0.000)

---

Q | A plane-wave DFT calculation with PBE was carried out for crystalline CrIrI2N at its relaxed geometry.

The size of the total moment comes out at 1.74 Bohr magnetons per cell. As for the space group: P4/mmm, No. 123.

Cell: 5.357 5.357 3.514 Å, 90.00 90.00 90.00°
Atoms (fractional coordinates):
Cr (0.000, 0.000, 0.000)
Ir (0.500, 0.500, 0.500)
I (0.000, 0.500, 0.000)
I (0.500, 0.000, 0.000)
N (0.000, 0.000, 0.500)

---

Which structure is the least stable? The one labeled Q.